No. 1
Ac3PmEr PBE relaxed; energy of formation = 221 meV/atom; crystal system = monoclinic; N(E_F) = 17.73 states/eV/cell; total DFT energy (no corrections) = -0.3018 Ry/atom
1.0
7.6156 0.0000 0.0000
-3.8078 7.6054 -6.2806
0.0000 -2.2516 8.9754
Ac Er Pm
6 2 2
Cartesian
5.5989 0.8321 3.9916 Ac
2.0167 0.8321 3.9916 Ac
0.0000 1.7662 0.9113 Ac
3.8078 3.5877 1.7835 Ac
-1.7911 4.5217 -1.2968 Ac
1.7911 4.5217 -1.2968 Ac
3.8078 5.9847 -3.7587 Er
0.0000 -0.6308 6.4535 Er
3.8078 -0.8849 7.4987 Pm
0.0000 6.2387 -4.8039 Pm



No. 2
NdDy2Si2 PBE relaxed; crystal system = tetragonal; energy relative to the elements, uncorrected = -0.628 eV/atom; N(E_F) = 10.49 states/eV/cell; energy above the most stable polymorph in this dataset = 0.0 meV/atom; total DFT energy (no corrections) = -0.4110 Ry/atom
1.0
-1.6609 -0.0314 -3.7318
-1.0100 -7.6295 0.5137
-6.9741 1.1316 3.0943
Dy Si Nd
4 4 2
Cartesian
-2.9393 -4.7955 1.3485 Dy
-6.5747 -5.3509 2.9711 Dy
-1.4094 -1.1470 0.6369 Dy
-5.0449 -1.7024 2.2596 Dy
-7.1325 0.1288 0.9376 Si
-5.7221 -3.9968 0.3446 Si
-3.9229 -2.5325 -0.4684 Si
-2.5125 -6.6581 -1.0614 Si
-1.3354 -3.8305 -1.6091 Nd
-4.3175 0.5501 -0.3187 Nd



No. 3
Zn2PbW PBE relaxed; energy of formation = 462 meV/atom; crystal system = tetragonal; N(E_F) = 2.74 states/eV/cell; total DFT energy (no corrections) = -0.3190 Ry/atom
1.0
2.9022 0.0488 0.0000
-0.0523 2.9021 0.0000
0.0000 0.0000 9.1429
Pb Zn W
1 2 1
Cartesian
1.4249 1.4755 2.2857 Pb
0.0000 0.0000 4.9783 Zn
0.0000 0.0000 8.7361 Zn
1.4249 1.4755 6.8572 W



No. 4
CdI2N PBE relaxed; crystal system = tetragonal; energy relative to the elements, uncorrected = 0.810 eV/atom; N(E_F) = 6.48 states/eV/cell; energy above the most stable polymorph in this dataset = 312.6 meV/atom; total DFT energy (no corrections) = -0.1672 Ry/atom
1.0
7.3459 0.0000 0.0000
0.0000 7.3459 0.0000
3.6729 3.6729 5.2258
N I Cd
2 4 2
Cartesian
3.6729 3.6729 0.0000 N
3.6729 7.3459 2.6129 N
3.6664 1.8365 1.3065 I
5.5094 7.3524 3.9194 I
9.1823 7.3393 3.9194 I
3.6794 5.5094 1.3065 I
0.0000 0.0000 0.0000 Cd
7.3459 3.6729 2.6129 Cd



No. 5
LiSm3 PBE relaxed; energy of formation = 252 meV/atom; crystal system = orthorhombic; N(E_F) = 5.26 states/eV/cell; energy above the most stable polymorph in this dataset = 173.5 meV/atom; total DFT energy (no corrections) = -0.2768 Ry/atom
1.0
3.4407 0.0000 0.0000
0.0000 3.3725 0.0000
0.0000 0.0000 11.0365
Sm Li
3 1
Cartesian
1.7204 0.0000 7.8015 Sm
0.0000 1.6862 5.1927 Sm
1.7204 1.6862 2.1076 Sm
0.0000 0.0000 10.6500 Li



No. 6
YMgScSe4 PBE relaxed; crystal system = orthorhombic; energy relative to the elements, uncorrected = -1.637 eV/atom; total DFT energy (no corrections) = -0.4178 Ry/atom
1.0
8.0541 0.0000 0.0000
4.0271 7.0383 0.0861
4.0271 2.2262 6.6775
Se Y Mg Sc
8 2 2 2
Cartesian
8.0541 7.0489 4.9448 Se
12.0812 7.0395 4.9379 Se
10.1000 5.9477 1.8161 Se
6.0083 3.3168 4.9475 Se
10.1000 3.3168 4.9475 Se
4.0271 2.2250 1.8256 Se
6.0082 5.9477 1.8161 Se
8.0541 2.2155 1.8188 Se
4.0271 4.6322 3.3818 Y
0.0000 0.0000 0.0000 Y
8.0541 4.5996 5.8841 Mg
8.0541 4.6648 0.8795 Mg
6.0406 1.1131 3.3387 Sc
2.0135 1.1131 3.3387 Sc



No. 7
PmMg2Tl2 PBE relaxed; energy of formation = 153 meV/atom; crystal system = hexagonal; N(E_F) = 6.77 states/eV/cell; energy above the most stable polymorph in this dataset = 328.3 meV/atom; total DFT energy (no corrections) = -0.1751 Ry/atom
1.0
5.0887 0.0000 0.0000
-2.5444 4.4070 0.0000
0.0000 0.0000 13.1677
Mg Pm Tl
4 2 4
Cartesian
2.5444 1.4690 9.8757 Mg
0.0000 2.9380 3.2919 Mg
0.0000 0.0000 6.5838 Mg
0.0000 0.0000 0.0000 Mg
0.0000 0.0000 9.8757 Pm
0.0000 0.0000 3.2919 Pm
0.0000 2.9380 11.6088 Tl
2.5444 1.4690 5.0250 Tl
2.5444 1.4690 1.5589 Tl
0.0000 2.9380 8.1427 Tl



No. 8
AcBAs PBE relaxed; energy of formation = -185 meV/atom; crystal system = orthorhombic; N(E_F) = 7.59 states/eV/cell; total DFT energy (no corrections) = -0.3917 Ry/atom
1.0
-3.5253 1.8594 2.3644
-4.3849 -2.4617 -4.6020
-0.8069 -7.8411 4.9632
Ac B As
4 4 4
Cartesian
-2.1877 -3.3561 1.6481 Ac
-5.8719 -1.0241 -1.1374 Ac
-6.5294 -5.0873 1.0776 Ac
-2.8452 -7.4193 3.8630 Ac
-5.7526 -7.2613 -0.5961 B
-5.4429 -6.2676 3.6256 B
-3.2742 -2.1758 -0.9000 B
-2.9645 -1.1821 3.3217 B
-4.2019 -3.9069 -0.9219 As
-4.5152 -4.5366 3.6475 As
-3.6278 -0.3443 1.6739 As
-5.0893 -8.0991 1.0518 As



Q: What is the total DFT energy (no corrections) in the sixth record?
A: -0.4178 Ry/atom



Q: What is the total DFT energy (no corrections) in the fourth record?
A: -0.1672 Ry/atom